# 1
Here is a relaxed Na2LiRu3O8 crystal from the Alexandria database. Energies are from GGA-PBE.

Values from the calculation:
formation energy (no corrections) = -1.221 eV/atom
E = -6.367 eV/atom

Cell: 6.6501 6.6501 6.6501 Å, 52.37 52.37 52.37°
Last column: nearest neighbours and their distance in Å.
Sites, in units of the cell vectors:
Na  0.0000  0.0000  0.0000  4 O 2.30-2.33
Na  0.3480  0.3480  0.3480  6 O 2.36-2.43
Li  0.8213  0.8213  0.8213  3 O 1.93
Ru  0.3725  0.3725  0.8267  6 O 1.98-2.09
Ru  0.3725  0.8268  0.3725  6 O 1.98-2.09
Ru  0.8267  0.3725  0.3725  6 O 1.98-2.09
O  0.0823  0.0823  0.5669  2 Ru 1.98
O  0.0823  0.5669  0.0823  2 Ru 1.98
O  0.1338  0.1338  0.1338  3 Ru 2.09, 1 Na 2.30
O  0.1404  0.6051  0.6051  1 Li 1.93, 2 Ru 2.01
O  0.5669  0.0823  0.0823  2 Ru 1.98
O  0.6017  0.6017  0.6017  3 Ru 2.04
O  0.6051  0.1404  0.6051  1 Li 1.93, 2 Ru 2.01
O  0.6051  0.6051  0.1404  1 Li 1.93, 2 Ru 2.01

# 2
Here is a relaxed NaLiRuO3 crystal from the Alexandria database. Energies are from GGA-PBE.

Values from the calculation:
formation energy (no corrections) = -1.358 eV/atom
E = -5.922 eV/atom

Cell: 5.7840 3.1183 7.3954 Å, 90.00 92.24 90.00°
Last column: nearest neighbours and their distance in Å.
Sites, in units of the cell vectors:
Na  0.0737  0.2500  0.3195  6 O 2.32-2.56
Na  0.9263  0.7500  0.6805  6 O 2.32-2.56
Li  0.2948  0.7500  0.9830  5 O 2.06-2.26
Li  0.7052  0.2500  0.0170  5 O 2.06-2.26
Ru  0.4216  0.2500  0.6755  5 O 1.89-2.10
Ru  0.5784  0.7500  0.3245  5 O 1.89-2.10
O  0.1647  0.2500  0.8261  1 Ru 1.89, 2 Li 2.07
O  0.3016  0.7500  0.5073  3 Ru 2.10-2.14
O  0.4272  0.2500  0.1823  2 Ru 2.06, 3 Li 2.06-2.26
O  0.5728  0.7500  0.8177  2 Ru 2.06, 3 Li 2.06-2.26
O  0.6984  0.2500  0.4927  3 Ru 2.10-2.14
O  0.8353  0.7500  0.1739  1 Ru 1.89, 2 Li 2.07

# 3
Here is a relaxed NaLiS2O6 crystal from the Alexandria database. Energies are from GGA-PBE.

Values from the calculation:
formation energy (no corrections) = -1.388 eV/atom
E = -5.511 eV/atom

Cell: 6.3581 6.3581 6.3581 Å, 48.57 48.57 48.57°
Last column: nearest neighbours and their distance in Å.
Sites, in units of the cell vectors:
Na  0.0000  0.0000  0.0000  6 O 2.50
Li  0.5000  0.5000  0.5000  6 O 2.24
S  0.2650  0.2650  0.2650  3 O 1.49
S  0.7350  0.7350  0.7350  3 O 1.49
O  0.0419  0.7399  0.4909  1 S 1.49
O  0.2601  0.5091  0.9581  1 S 1.49
O  0.4909  0.0419  0.7399  1 S 1.49
O  0.5091  0.9581  0.2601  1 S 1.49
O  0.7399  0.4909  0.0419  1 S 1.49
O  0.9581  0.2601  0.5091  1 S 1.49

# 4
Here is a relaxed NaLi3S4O12 crystal from the Alexandria database. Energies are from GGA-PBE.

Values from the calculation:
formation energy (no corrections) = -1.132 eV/atom
E = -5.286 eV/atom

Cell: 6.6258 6.6258 6.6258 Å, 104.26 104.26 104.26°
Last column: nearest neighbours and their distance in Å.
Sites, in units of the cell vectors:
Na  0.0000  0.0000  0.0000  6 O 2.58
Li  0.0000  0.5523  0.4477  6 O 2.17-2.20
Li  0.4477  0.0000  0.5523  6 O 2.17-2.20
Li  0.5523  0.4477  0.0000  6 O 2.17-2.20
S  0.0473  0.5000  0.9527  3 O 1.50-1.51
S  0.5000  0.5000  0.5000  3 O 1.51
S  0.5000  0.9527  0.0473  3 O 1.50-1.51
S  0.9527  0.0473  0.5000  3 O 1.50-1.51
O  0.0358  0.6313  0.7969  1 S 1.51
O  0.0963  0.9037  0.5000  1 S 1.50
O  0.2031  0.3687  0.9642  1 S 1.51
O  0.3559  0.6441  0.5000  1 S 1.51
O  0.3687  0.9642  0.2031  1 S 1.51
O  0.5000  0.0963  0.9037  1 S 1.50
O  0.5000  0.3559  0.6441  1 S 1.51
O  0.6313  0.7969  0.0358  1 S 1.51
O  0.6441  0.5000  0.3559  1 S 1.51
O  0.7969  0.0358  0.6313  1 S 1.51
O  0.9037  0.5000  0.0963  1 S 1.50
O  0.9642  0.2031  0.3687  1 S 1.51

# 5
Here is a relaxed NaLi2SO4 crystal from the Alexandria database. Energies are from GGA-PBE.

Values from the calculation:
formation energy (no corrections) = -1.428 eV/atom
E = -5.067 eV/atom

Cell: 5.8877 5.8877 5.8877 Å, 133.65 133.65 67.64°
Last column: nearest neighbours and their distance in Å.
Sites, in units of the cell vectors:
Na  0.0000  0.0000  0.0000  4 O 2.42
Li  0.2500  0.7500  0.5000  4 O 2.22
Li  0.5000  0.5000  0.0000  4 O 2.20
S  0.7500  0.2500  0.5000  4 O 1.52
O  0.0520  0.5036  0.8777  1 S 1.52
O  0.4964  0.3741  0.5483  1 S 1.52
O  0.6259  0.1743  0.1223  1 S 1.52
O  0.8257  0.9480  0.4517  1 S 1.52

# 6
Here is a relaxed Na2LiSbO4 crystal from the Alexandria database. Energies are from GGA-PBE.

Values from the calculation:
formation energy (no corrections) = -1.506 eV/atom
E = -5.069 eV/atom

Cell: 5.1392 5.1392 5.1392 Å, 107.06 107.06 114.42°
Last column: nearest neighbours and their distance in Å.
Sites, in units of the cell vectors:
Na  0.0000  0.5000  0.5000  8 O 2.58-2.75, 2 Na 2.78
Na  0.5000  0.0000  0.5000  8 O 2.58-2.75, 2 Na 2.78
Li  0.0000  0.0000  0.0000  4 O 2.13
Sb  0.5000  0.5000  0.0000  4 O 1.92
O  0.1081  0.4478  0.0000  1 Sb 1.92, 1 Li 2.13
O  0.4478  0.1081  0.0000  1 Sb 1.92, 1 Li 2.13
O  0.5522  0.5522  0.6602  1 Sb 1.92, 1 Li 2.13
O  0.8919  0.8919  0.3398  1 Sb 1.92, 1 Li 2.13

# 7
Here is a relaxed Na2Li2SbO4 crystal from the Alexandria database. Energies are from GGA-PBE.

Values from the calculation:
formation energy (no corrections) = -1.589 eV/atom
E = -4.969 eV/atom

Cell: 5.8336 5.8336 7.9217 Å, 126.04 126.04 33.31°
Last column: nearest neighbours and their distance in Å.
Sites, in units of the cell vectors:
Na  0.1768  0.1768  0.2833  5 O 2.40-2.53
Na  0.8232  0.8232  0.7167  5 O 2.40-2.53
Li  0.3427  0.3427  0.1190  4 O 1.97-2.03
Li  0.6573  0.6573  0.8810  4 O 1.97-2.03
Sb  0.0000  0.0000  0.5000  6 O 2.12-2.20
O  0.2154  0.2154  0.8045  3 Li 1.97-2.02, 1 Sb 2.12
O  0.4382  0.4382  0.6136  1 Li 2.03, 2 Sb 2.20
O  0.5618  0.5618  0.3864  1 Li 2.03, 2 Sb 2.20
O  0.7846  0.7846  0.1955  3 Li 1.97-2.02, 1 Sb 2.12

# 8
Here is a relaxed NaLiSc2O4 crystal from the Alexandria database. Energies are from GGA-PBE.

Values from the calculation:
formation energy (no corrections) = -2.839 eV/atom
E = -7.305 eV/atom

Cell: 5.4870 5.4870 10.9592 Å, 90.00 90.00 146.18°
Last column: nearest neighbours and their distance in Å.
Sites, in units of the cell vectors:
Na  0.0943  0.9057  0.7500  2 O 2.43
Na  0.9057  0.0943  0.2500  2 O 2.43
Li  0.1757  0.8243  0.2500  4 O 1.84-1.88
Li  0.8243  0.1757  0.7500  4 O 1.84-1.88
Sc  0.3660  0.6340  0.5599  6 O 2.11-2.23
Sc  0.3660  0.6340  0.9401  6 O 2.11-2.23
Sc  0.6340  0.3660  0.0599  6 O 2.11-2.23
Sc  0.6340  0.3660  0.4401  6 O 2.11-2.23
O  0.0000  0.0000  0.0000  4 Sc 2.23
O  0.0000  0.0000  0.5000  4 Sc 2.23
O  0.2581  0.7419  0.1022  1 Li 1.84
O  0.2581  0.7419  0.3978  1 Li 1.84
O  0.4198  0.5802  0.7500  2 Li 1.88
O  0.5802  0.4198  0.2500  2 Li 1.88
O  0.7419  0.2581  0.6022  1 Li 1.84
O  0.7419  0.2581  0.8978  1 Li 1.84

# 9
Here is a relaxed Na2LiSeO4 crystal from the Alexandria database. Energies are from GGA-PBE.

Values from the calculation:
formation energy (no corrections) = -1.313 eV/atom
E = -4.797 eV/atom

Cell: 5.5171 5.5171 5.5171 Å, 123.33 123.33 84.31°
Last column: nearest neighbours and their distance in Å.
Sites, in units of the cell vectors:
Na  0.0000  0.0000  0.0000  4 O 2.31
Na  0.7500  0.2500  0.5000  4 O 2.42
Li  0.5000  0.5000  0.0000  4 O 2.01
Se  0.2500  0.7500  0.5000  4 O 1.81
O  0.1919  0.6437  0.0933  1 Se 1.81, 1 Li 2.01
O  0.3563  0.4497  0.5482  1 Se 1.81, 1 Li 2.01
O  0.5503  0.0985  0.9067  1 Se 1.81, 1 Li 2.01
O  0.9015  0.8081  0.4518  1 Se 1.81, 1 Li 2.01

# 10
Here is a relaxed Na2Li2SeO6 crystal from the Alexandria database. Energies are from GGA-PBE.

Values from the calculation:
formation energy (no corrections) = -1.141 eV/atom
E = -4.750 eV/atom

Cell: 5.1063 5.1063 5.3485 Å, 90.00 90.00 120.00°
Last column: nearest neighbours and their distance in Å.
Sites, in units of the cell vectors:
Na  0.3333  0.6667  0.0000  6 O 2.45, 2 Li 2.67
Na  0.6667  0.3333  0.0000  6 O 2.45, 2 Li 2.67
Li  0.3333  0.6667  0.5000  6 O 2.09
Li  0.6667  0.3333  0.5000  6 O 2.09
Se  0.0000  0.0000  0.5000  6 O 1.81
O  0.0000  0.2918  0.3079  1 Se 1.81
O  0.0000  0.7082  0.6921  1 Se 1.81
O  0.2918  0.0000  0.3079  1 Se 1.81
O  0.2918  0.2918  0.6921  1 Se 1.81
O  0.7082  0.0000  0.6921  1 Se 1.81
O  0.7082  0.7082  0.3079  1 Se 1.81

# 11
Here is a relaxed NaLi4Se3O12 crystal from the Alexandria database. Energies are from GGA-PBE.

Values from the calculation:
formation energy (no corrections) = -0.867 eV/atom
E = -4.813 eV/atom

Cell: 6.5852 6.5852 6.5852 Å, 109.47 109.47 109.47°
Last column: nearest neighbours and their distance in Å.
Sites, in units of the cell vectors:
Na  0.0000  0.0000  0.0000  12 O 2.84
Li  0.0000  0.0000  0.5000  6 O 2.13
Li  0.0000  0.5000  0.0000  6 O 2.13
Li  0.5000  0.0000  0.0000  6 O 2.13
Li  0.5000  0.5000  0.5000  6 O 2.13
Se  0.0000  0.5000  0.5000  4 O 1.73
Se  0.5000  0.0000  0.5000  4 O 1.73
Se  0.5000  0.5000  0.0000  4 O 1.73
O  0.1594  0.4964  0.3371  1 Se 1.73
O  0.1594  0.8223  0.6629  1 Se 1.73
O  0.1777  0.3371  0.8406  1 Se 1.73
O  0.3371  0.1594  0.4964  1 Se 1.73
O  0.3371  0.8406  0.1777  1 Se 1.73
O  0.4964  0.3371  0.1594  1 Se 1.73
O  0.5036  0.6629  0.8406  1 Se 1.73
O  0.6629  0.1594  0.8223  1 Se 1.73
O  0.6629  0.8406  0.5036  1 Se 1.73
O  0.8223  0.6629  0.1594  1 Se 1.73
O  0.8406  0.1777  0.3371  1 Se 1.73
O  0.8406  0.5036  0.6629  1 Se 1.73

# 12
Here is a relaxed NaLiSe2O6 crystal from the Alexandria database. Energies are from GGA-PBE.

Values from the calculation:
formation energy (no corrections) = -1.059 eV/atom
E = -5.054 eV/atom

Cell: 7.1487 7.1487 6.7444 Å, 110.58 110.58 82.97°
Last column: nearest neighbours and their distance in Å.
Sites, in units of the cell vectors:
Na  0.1241  0.8759  0.7500  6 O 2.52-2.60
Na  0.8759  0.1241  0.2500  6 O 2.52-2.60
Li  0.2174  0.7826  0.2500  4 O 2.00-2.05
Li  0.7826  0.2174  0.7500  4 O 2.00-2.05
Se  0.2258  0.3775  0.8150  3 O 1.68-1.74
Se  0.3775  0.2258  0.3150  3 O 1.68-1.74
Se  0.6225  0.7742  0.6850  3 O 1.68-1.74
Se  0.7742  0.6225  0.1850  3 O 1.68-1.74
O  0.0342  0.2135  0.6822  1 Se 1.69
O  0.1410  0.6083  0.9192  1 Se 1.68
O  0.2135  0.0342  0.1822  1 Se 1.69
O  0.3063  0.3902  0.5364  1 Se 1.74
O  0.3902  0.3063  0.0364  1 Se 1.74
O  0.3917  0.8590  0.5808  1 Se 1.68
O  0.6083  0.1410  0.4192  1 Se 1.68
O  0.6098  0.6937  0.9636  1 Se 1.74
O  0.6937  0.6098  0.4636  1 Se 1.74
O  0.7865  0.9658  0.8178  1 Se 1.69
O  0.8590  0.3917  0.0808  1 Se 1.68
O  0.9658  0.7865  0.3178  1 Se 1.69

> Look up the formation energy (no corrections) of the fifth one.

-1.428 eV/atom

> Look up the E of the third one.

-5.511 eV/atom

> Look up the E of the tenth one.

-4.750 eV/atom

> Which value of E does entry 12 give?

-5.054 eV/atom